w:
! PBE FeCoBi2, relaxed; values from VASP
&SYSTEM
  ibrav = 0, nat = 8, ntyp = 3
/
ATOMIC_SPECIES
Co 58.93 Co.upf
Bi 208.98 Bi.upf
Fe 55.84 Fe.upf
ATOMIC_POSITIONS crystal
Co 0.0000 0.0000 0.0000
Co 0.7500 0.2500 0.5000
Bi 0.6438 0.1250 0.2500
Bi 0.1062 0.6250 0.2500
Bi 0.3750 0.3562 0.7500
Bi 0.8750 0.8938 0.7500
Fe 0.5000 0.5000 0.0000
Fe 0.2500 0.7500 0.5000
CELL_PARAMETERS angstrom
7.2319 0.0000 0.0000
0.0000 7.2319 0.0000
3.6159 3.6159 3.3635
! symmetry	I-42d


x:
! PBE FeCoBi2, relaxed; values from VASP
&SYSTEM
  ibrav = 0, nat = 4, ntyp = 3
/
ATOMIC_SPECIES
Co 58.93 Co.upf
Bi 208.98 Bi.upf
Fe 55.84 Fe.upf
ATOMIC_POSITIONS crystal
Co 0.5000 0.5000 0.5000
Bi 0.2500 0.2500 0.2500
Bi 0.7500 0.7500 0.7500
Fe 0.0000 0.0000 0.0000
CELL_PARAMETERS angstrom
0.0000 3.3747 3.3747
3.3747 0.0000 3.3747
3.3747 3.3747 0.0000
! symmetry	Fm-3m


So which one is most stable? That would be x, about 21.1 kJ/mol of atoms below the next structure.


w:
! PBE GaCo3Bi, relaxed; values from VASP
&SYSTEM
  ibrav = 0, nat = 5, ntyp = 3
/
ATOMIC_SPECIES
Co 58.93 Co.upf
Bi 208.98 Bi.upf
Ga 69.72 Ga.upf
ATOMIC_POSITIONS crystal
Co 0.0000 0.5000 0.0000
Co 0.0000 0.0000 0.5000
Co 0.5000 0.0000 0.0000
Bi 0.5000 0.5000 0.5000
Ga 0.0000 0.0000 0.0000
CELL_PARAMETERS angstrom
-4.1183 1.3932 0.8193
-1.6159 -3.5992 -2.0018
0.0361 -2.1627 3.8593
! symmetry	Pm-3m


x:
! PBE GaCo3Bi, relaxed; values from VASP
&SYSTEM
  ibrav = 0, nat = 5, ntyp = 3
/
ATOMIC_SPECIES
Co 58.93 Co.upf
Bi 208.98 Bi.upf
Ga 69.72 Ga.upf
ATOMIC_POSITIONS crystal
Co 0.0000 0.5000 0.0000
Co 0.0000 0.0000 0.5000
Co 0.5000 0.0000 0.0000
Bi 0.0000 0.0000 0.0000
Ga 0.5000 0.5000 0.5000
CELL_PARAMETERS angstrom
-3.2214 -3.6102 0.1573
2.1095 -2.0498 -3.8450
2.9340 -2.4900 2.9372
! symmetry	Pm-3m


So which one is most stable? That would be w, about 65.1 kJ/mol of atoms below the next structure.